Record 1
Compound: NdYH
Source: the Alexandria database
Functional: PBE
Structure: relaxed

abc: 3.6856 3.6856 5.7866
angles: 90.00 90.00 120.00
Space group P3m1 (No. 156)
Unique sites:
Nd (0.0000, 0.0000, 0.0000)
Y (0.6667, 0.3333, 0.5176)
H (0.3333, 0.6667, 0.7426)

---

Record 2
Compound: NdYH2
Source: the Alexandria database
Functional: PBE
Structure: relaxed

abc: 3.5656 3.5656 17.3969
angles: 90.00 90.00 120.00
Space group R-3m (No. 166, hexagonal axes)
Unique sites:
Nd (0.0000, 0.0000, 0.0000)
Y (0.0000, 0.0000, 0.5000)
H (0.0000, 0.0000, 0.2432)

---

no.,E above lowest polymorph (eV per atom),raw total energy (eV/atom),spin magnetization (μB per cell)
1,0.000,-5.084,0.00
2,0.000,-4.864,0.00